Y2HoUP4 after structural relaxation. Source: Alexandria, functional GGA-PBE.

Output
Calculated formation energy: -1.46 eV per atom

a b c (Å): 6.8926 3.9716 6.8962
angles (deg): 90.00 109.22 90.00
Atoms (fractional coordinates):
Y  0.0000  0.0000  0.0000
Y  0.5000  0.5000  0.0000
Ho  0.0000  0.5000  0.5000
U  0.5000  0.0000  0.5000
P  0.2533  0.0000  0.7441
P  0.2547  0.5000  0.2560
P  0.7453  0.5000  0.7440
P  0.7467  0.0000  0.2559



Ca2HgTe2 after structural relaxation. Source: Alexandria, functional GGA-PBE.

Output
Formation energy (no corrections): -5.304 eV per formula unit
ΔE to the lowest computed polymorph: 104.3 meV/atom

a b c (Å): 8.8747 8.8747 4.0031
angles (deg): 90.00 90.00 90.00
Atoms (fractional coordinates):
Ca  0.1516  0.3484  0.0000
Ca  0.3484  0.8484  0.0000
Ca  0.6516  0.1516  0.0000
Ca  0.8484  0.6516  0.0000
Hg  0.0000  0.0000  0.5000
Hg  0.5000  0.5000  0.5000
Te  0.1489  0.6489  0.5000
Te  0.3511  0.1489  0.5000
Te  0.6489  0.8511  0.5000
Te  0.8511  0.3511  0.5000



MgPdSe after structural relaxation. Source: Alexandria, functional GGA-PBE.

Output
Formation energy (no corrections): -1.774 eV per formula unit

a b c (Å): 7.0439 3.6973 8.6322
angles (deg): 90.00 90.00 90.00
Atoms (fractional coordinates):
Mg  0.0310  0.2500  0.1804
Mg  0.4690  0.7500  0.6804
Mg  0.5310  0.2500  0.3196
Mg  0.9690  0.7500  0.8196
Pd  0.2427  0.7500  0.4045
Pd  0.2573  0.2500  0.9045
Pd  0.7427  0.7500  0.0955
Pd  0.7573  0.2500  0.5955
Se  0.1762  0.2500  0.6223
Se  0.3238  0.7500  0.1223
Se  0.6762  0.2500  0.8777
Se  0.8238  0.7500  0.3777



IrNCl2 after structural relaxation. Source: Alexandria, functional GGA-PBE.

Output
Formation energy (no corrections): 1.181 eV per formula unit
ΔE to the lowest computed polymorph: 0.0 meV/atom

a b c (Å): 9.4066 9.4066 3.6787
angles (deg): 90.00 90.00 90.00
Atoms (fractional coordinates):
Ir  0.0000  0.0000  0.0000
Ir  0.0000  0.5000  0.2500
Ir  0.5000  0.0000  0.7500
Ir  0.5000  0.5000  0.5000
N  0.0000  0.0000  0.5000
N  0.0000  0.5000  0.7500
N  0.5000  0.0000  0.2500
N  0.5000  0.5000  0.0000
Cl  0.0814  0.2500  0.1250
Cl  0.2500  0.5814  0.3750
Cl  0.2500  0.9186  0.8750
Cl  0.4186  0.2500  0.6250
Cl  0.5814  0.7500  0.6250
Cl  0.7500  0.0814  0.8750
Cl  0.7500  0.4186  0.3750
Cl  0.9186  0.7500  0.1250



PmTh2C2 after structural relaxation. Source: Alexandria, functional GGA-PBE.

Output
ΔE to the lowest computed polymorph: 12.1 meV/atom
Calculated formation energy: -0.21 eV per atom

a b c (Å): 6.5063 6.5063 7.5305
angles (deg): 107.85 107.85 48.33
Atoms (fractional coordinates):
Pm  0.1576  0.1576  0.0919
Pm  0.8424  0.8424  0.9081
Th  0.1648  0.1648  0.5790
Th  0.4949  0.4949  0.2609
Th  0.5051  0.5051  0.7391
Th  0.8352  0.8352  0.4210
C  0.0048  0.0048  0.2620
C  0.3436  0.3436  0.4263
C  0.6564  0.6564  0.5737
C  0.9952  0.9952  0.7380



AcSc2Cd6 after structural relaxation. Source: Alexandria, functional GGA-PBE.

Output
Calculated formation energy: -0.20 eV per atom

a b c (Å): 8.6834 8.6834 3.3954
angles (deg): 90.00 90.00 120.00
Atoms (fractional coordinates):
Ac  0.0000  0.0000  0.0000
Sc  0.3333  0.6667  0.0000
Sc  0.6667  0.3333  0.0000
Cd  0.0000  0.3423  0.5000
Cd  0.0000  0.6577  0.5000
Cd  0.3423  0.0000  0.5000
Cd  0.3423  0.3423  0.5000
Cd  0.6577  0.0000  0.5000
Cd  0.6577  0.6577  0.5000



SrCuSn2Te after structural relaxation. Source: Alexandria, functional GGA-PBE.

Output
Formation energy (no corrections): 4.712 eV per formula unit

a b c (Å): 6.1477 6.1477 5.2185
angles (deg): 90.00 90.00 90.00
Atoms (fractional coordinates):
Sr  0.0000  0.0000  0.0000
Cu  0.0000  0.0000  0.5000
Sn  0.0000  0.5000  0.0000
Sn  0.5000  0.0000  0.0000
Te  0.5000  0.5000  0.5000



Ta2CuRu after structural relaxation. Source: Alexandria, functional GGA-PBE.

Output
Calculated formation energy: -0.09 eV per atom

a b c (Å): 4.0066 4.0066 3.8626
angles (deg): 90.00 90.00 90.00
Atoms (fractional coordinates):
Ta  0.0000  0.5000  0.0000
Ta  0.5000  0.0000  0.0000
Cu  0.0000  0.0000  0.5000
Ru  0.5000  0.5000  0.5000



In the order shown, the computed total magnetization values come out to 2.07; 0.00; 0.00; 0.00; 0.00; 0.00; 0.00; 0.00 μB/f.u..